First-principles (GGA-PBE) data for crystalline Na2LiCdF at its relaxed geometry, as listed in Alexandria.

Space group: P4/mmm, No. 123
Raw total energy: -2.512 eV/atom
Spin magnetization: 0.00 μB/cell

```
Na2LiCdF
1.0
-4.7623 0.2990 2.2594
-0.3249 -5.2695 0.0126
1.6200 -0.0917 3.4267
F Na Cd Li
1 2 1 1
Direct
0.0000 0.0000 0.0000
0.5000 0.0000 0.0000
0.0000 0.5000 0.0000
0.5000 0.5000 0.5000
0.0000 0.0000 0.5000
```

---

First-principles (GGA-PBE) data for crystalline Pa3InBi4 at its relaxed geometry, as listed in Alexandria.

Space group: Pmn2_1, No. 31
ΔE_f: 0.1050 eV per atom
Raw total energy: -5.739 eV/atom
Spin magnetization: 4.84 μB/cell

```
Pa3InBi4
1.0
-4.2019 2.2412 -4.1863
2.5346 -8.9507 -7.3360
-4.6289 -3.5577 2.7415
Bi Pa In
8 6 2
Direct
0.8841 0.8741 0.5000
0.6236 0.6183 0.2446
0.6236 0.6183 0.7554
0.6203 0.1207 0.5000
0.1236 0.3817 0.2554
0.1203 0.8793 0.0000
0.1236 0.3817 0.7446
0.3841 0.1259 0.0000
0.1184 0.1402 0.5000
0.1245 0.6542 0.2804
0.6245 0.3458 0.7804
0.6184 0.8598 0.0000
0.6245 0.3458 0.2196
0.1245 0.6542 0.7196
0.3961 0.8607 0.5000
0.8961 0.1393 0.0000
```

---

First-principles (GGA-PBE) data for crystalline ZnTeSe2 at its relaxed geometry, as listed in Alexandria.

Space group: I-4m2, No. 119
Offset from the most stable computed form: 218 meV per atom
Raw total energy: -2.753 eV/atom
Spin magnetization: 0.00 μB/cell

```
ZnTeSe2
1.0
8.9683 0.1255 0.0000
7.2542 5.2748 0.0000
-8.1113 -2.7002 2.7135
Te Zn Se
1 1 2
Direct
0.5000 0.5000 0.0000
0.7500 0.2500 0.5000
0.0000 0.0000 0.0000
0.2500 0.7500 0.5000
```